Entry 1:
The following is a DFT calculation (PBE) of CeErTm14 after structural relaxation.

Cell lengths 11.2848, 7.0221, 12.1632 Å; angles 90.00, 90.00, 90.00 degrees
Space group Amm2 (No. 38)
One atom of each set of equivalent atoms:
1 Ce 0.0000 0.0000 0.0000
2 Er 0.0000 0.0000 0.5002
3 Tm 0.0000 0.2502 0.2498
4 Tm 0.2507 0.0000 0.3331
5 Tm 0.2510 0.0000 0.8340
6 Tm 0.2513 0.2484 0.0826
7 Tm 0.5000 0.0000 0.1670
8 Tm 0.5000 0.0000 0.6664
9 Tm 0.5000 0.2492 0.4161

Values from the calculation:
total magnetic moment	0.52	μB/f.u.
ΔH_f (0 K)	22	meV per atom
E_tot	-145.50	eV/cell

Entry 2:
The following is a DFT calculation (PBE) of MnBCl2 after structural relaxation.

Cell lengths 6.4495, 6.4495, 6.4495 Å; angles 90.00, 90.00, 90.00 degrees
Space group Fm-3m (No. 225)
One atom of each set of equivalent atoms:
1 Mn 0.0000 0.0000 0.0000
2 B 0.0000 0.0000 0.5000
3 Cl 0.2500 0.2500 0.2500

Values from the calculation:
total magnetic moment	4.17	μB/f.u.
ΔE_f (raw)	0.7909	eV/atom
E_tot	-65.51	eV/cell

Entry 3:
The following is a DFT calculation (PBE) of LaHfAg after structural relaxation.

Cell lengths 4.9093, 4.9093, 7.5502 Å; angles 90.00, 90.00, 120.00 degrees
Space group P6_3/mmc (No. 194)
One atom of each set of equivalent atoms:
1 La 0.0000 0.0000 0.0000
2 Hf 0.3333 0.6667 0.2500
3 Ag 0.3333 0.6667 0.7500

Values from the calculation:
total magnetic moment	0.00	μB/f.u.
ΔH_f (0 K)	247	meV per atom
E_tot	-33.98	eV/cell